(1)
Entry from the Alexandria database: a relaxed Tl2Hg2B crystal (PBE).

Its uncorrected energy is -14.997 eV per cell. The formation energy comes out at 4.5 eV/f.u.

It has space group I4/mmm (No. 139), with a = 3.991 Å, b = 3.991 Å, c = 17.728 Å, α = 90.00°, β = 90.00° and γ = 90.00°. The asymmetric unit holds Tl at (0.000, 0.000, 0.087), Hg at (0.000, 0.500, 0.250) and B at (0.000, 0.000, 0.500).


(2)
Entry from the Alexandria database: a relaxed Tb3CeHo4 crystal (PBE).

Its uncorrected energy is -73.229 eV per cell. The formation energy comes out at 1.5 eV/f.u.

It has space group C2/m (No. 12), with a = 23.234 Å, b = 3.415 Å, c = 6.719 Å, α = 90.00°, β = 106.71° and γ = 90.00°. The asymmetric unit holds Tb at (0.000, 0.000, 0.000), Tb at (0.125, 0.000, 0.867), Ce at (0.000, 0.500, 0.500), Ho at (0.125, 0.000, 0.382) and Ho at (0.241, 0.500, 0.737).